A plane-wave DFT calculation with PBE was carried out for a relaxed Dy4CS3 crystal.

The structure in POSCAR format:
```
Dy4CS3
1.0
5.4258 0.0000 0.0000
0.0000 5.4258 0.0000
0.0000 0.0000 5.4258
Dy C S
4 1 3
Cartesian
2.7129 0.0000 0.0000
0.0000 2.7129 0.0000
0.0000 0.0000 2.7129
2.7129 2.7129 2.7129
0.0000 0.0000 0.0000
0.0000 2.7129 2.7129
2.7129 0.0000 2.7129
2.7129 2.7129 0.0000
```

Properties
Fermi-level density of states = 3.97 states/eV/cell
E_form (uncorrected) = -1569 meV/atom
polymorph energy (0 for the lowest one) = 112 meV per atom
crystal system = cubic
E_tot = -52.6 eV per cell

A plane-wave DFT calculation with PBE was carried out for a relaxed NbInI2 crystal.

The structure in POSCAR format:
```
NbInI2
1.0
10.1540 0.0000 0.0000
0.0000 10.1540 0.0000
5.0770 5.0770 2.9222
I Nb In
4 2 2
Cartesian
6.2240 2.5385 0.7306
3.9300 7.6155 0.7306
7.6155 9.0069 2.1917
12.6925 11.3010 2.1917
5.0770 5.0770 0.0000
5.0770 10.1540 1.4611
0.0000 0.0000 0.0000
10.1540 5.0770 1.4611
```

Properties
Fermi-level density of states = 6.60 states/eV/cell
E_form (uncorrected) = 143 meV/atom
polymorph energy (0 for the lowest one) = 0 meV per atom
crystal system = tetragonal
E_tot = -30.7 eV per cell

A plane-wave DFT calculation with PBE was carried out for a relaxed Tc2AsSe crystal.

The structure in POSCAR format:
```
Tc2AsSe
1.0
-0.5874 1.6772 2.2384
1.0984 -2.5884 0.5123
9.3303 3.8699 -0.4513
As Tc Se
1 2 1
Cartesian
4.1131 1.7060 -0.1990
0.1486 0.0616 -0.0072
2.4357 0.4487 1.2699
7.8091 2.6774 1.0099
```

Properties
Fermi-level density of states = 3.26 states/eV/cell
E_form (uncorrected) = 316 meV/atom
polymorph energy (0 for the lowest one) = 414 meV per atom
crystal system = orthorhombic
E_tot = -27.6 eV per cell

A plane-wave DFT calculation with PBE was carried out for a relaxed Zn3SnB crystal.

The structure in POSCAR format:
```
Zn3SnB
1.0
5.1748 0.0000 0.0000
0.0000 5.1748 0.0000
0.0000 0.0000 5.1748
Zn B Sn
3 1 1
Cartesian
0.0000 2.5874 0.0000
0.0000 0.0000 2.5874
2.5874 0.0000 0.0000
2.5874 2.5874 2.5874
0.0000 0.0000 0.0000
```

Properties
Fermi-level density of states = 3.20 states/eV/cell
ΔH_f (0 K) = 1.43 eV per atom
polymorph energy (0 for the lowest one) = 1020 meV per atom
crystal system = cubic
E_tot = -7.4 eV per cell

A plane-wave DFT calculation with PBE was carried out for a relaxed TlTcCl2 crystal.

The structure in POSCAR format:
```
TlTcCl2
1.0
8.7572 -0.0056 -0.0034
8.0664 3.4090 -0.0034
8.0664 1.6318 2.9931
Tl Tc Cl
1 1 2
Cartesian
18.8593 3.8152 2.2628
12.6005 2.5490 1.5119
0.3627 0.0734 0.0435
5.5123 1.1151 0.6614
```

Properties
Fermi-level density of states = 0.02 states/eV/cell
E_form (uncorrected) = -84 meV/atom
polymorph energy (0 for the lowest one) = 79 meV per atom
crystal system = trigonal
E_tot = -16.8 eV per cell

A plane-wave DFT calculation with PBE was carried out for a relaxed PaInCuRu crystal.

The structure in POSCAR format:
```
PaInCuRu
1.0
-2.6758 3.9234 -0.0470
-3.3748 0.5333 -3.2987
-4.5812 -0.2352 1.2300
Ru Pa Cu In
1 1 1 1
Cartesian
-7.9739 3.1661 -1.5868
-5.3159 2.1108 -1.0578
-2.6580 1.0554 -0.5289
0.0000 0.0000 0.0000
```

Properties
Fermi-level density of states = 3.73 states/eV/cell
ΔH_f (0 K) = -0.12 eV per atom
crystal system = cubic
E_tot = -26.1 eV per cell

A plane-wave DFT calculation with PBE was carried out for a relaxed La2DyTm9 crystal.

The structure in POSCAR format:
```
La2DyTm9
1.0
-1.8122 -4.5126 -1.1767
4.6304 -1.5909 -1.0300
1.6682 -4.3958 14.2886
La Dy Tm
2 1 9
Cartesian
0.5570 -1.4678 4.7711
1.1112 -2.9280 9.5174
0.0000 0.0000 0.0000
1.4091 -3.0518 -1.1034
1.9610 -4.5061 3.6239
2.5254 -5.9932 8.4580
-0.6353 -2.9698 1.7310
-0.0720 -4.4542 6.5559
0.4913 -5.9386 11.3809
2.5860 -1.5090 1.8043
3.1493 -2.9933 6.6293
3.7126 -4.4777 11.4542
```

Properties
Fermi-level density of states = 18.22 states/eV/cell
ΔH_f (0 K) = 0.04 eV per atom
crystal system = tetragonal
E_tot = -54.3 eV per cell

A plane-wave DFT calculation with PBE was carried out for a relaxed Li3Zn6Cu crystal.

The structure in POSCAR format:
```
Li3Zn6Cu
1.0
6.3570 -1.0642 -0.7518
2.1795 4.8980 0.3776
2.1795 1.9927 4.4902
Li Zn Cu
3 6 1
Cartesian
2.5403 0.3421 0.2417
8.1757 5.4844 3.8743
0.0000 0.0000 0.0000
3.4470 1.3273 2.4794
7.2690 3.0461 3.6936
7.2690 4.4992 1.6366
3.4470 2.7804 0.4224
3.4284 4.5781 3.2341
7.2877 1.2484 0.8819
5.3580 2.9132 2.0580
```

Properties
Fermi-level density of states = 2.52 states/eV/cell
ΔH_f (0 K) = -0.06 eV per atom
polymorph energy (0 for the lowest one) = 89 meV per atom
crystal system = monoclinic
E_tot = -18.0 eV per cell